[1]
! InGaIr2Pt (PBE-GGA, relaxed); values from VASP
&SYSTEM
  ibrav = 0, nat = 5, ntyp = 4
/
ATOMIC_SPECIES
In 114.82 In.upf
Ga 69.72 Ga.upf
Ir 192.22 Ir.upf
Pt 195.08 Pt.upf
ATOMIC_POSITIONS crystal
In 0.0000 0.0000 0.0000
Ga 0.0000 0.0000 0.5000
Ir 0.0000 0.5000 0.5000
Ir 0.5000 0.0000 0.5000
Pt 0.5000 0.5000 0.0000
CELL_PARAMETERS angstrom
4.5238 0.0000 0.0000
0.0000 4.5238 0.0000
0.0000 0.0000 4.8338
! space-group type: No. 123
! total magnetization: 0.00 μB/cell
! calculated volume: 19.8 Å³/atom
! theoretical density: 12.83 Mg/m³
! energy of formation from the pure elements: 1.11 eV/atom



[2]
! PrTm3Au4 (PBE-GGA, relaxed); values from VASP
&SYSTEM
  ibrav = 0, nat = 8, ntyp = 3
/
ATOMIC_SPECIES
Pr 140.91 Pr.upf
Tm 168.93 Tm.upf
Au 196.97 Au.upf
ATOMIC_POSITIONS crystal
Pr 0.0000 0.0000 0.0000
Tm 0.0000 0.0000 0.5000
Tm 0.5000 0.5000 0.0000
Tm 0.5000 0.5000 0.5000
Au 0.0000 0.5000 0.2665
Au 0.0000 0.5000 0.7335
Au 0.5000 0.0000 0.2665
Au 0.5000 0.0000 0.7335
CELL_PARAMETERS angstrom
5.0801 0.0000 0.0000
0.0000 5.0801 0.0000
0.0000 0.0000 7.2487
! space-group type: No. 123
! total magnetization: 0.00 μB/cell
! calculated volume: 23.4 Å³/atom
! theoretical density: 12.74 Mg/m³
! energy of formation from the pure elements: -0.84 eV/atom